A plane-wave DFT calculation with PBE with a Hubbard U was carried out for a relaxed K2SmMoO6 crystal.

```
K2SmMoO6
1.0
6.038 0.000 0.000
3.019 5.229 0.000
3.019 1.743 4.932
O Mo K Sm
6 1 2 1
Cartesian
4.396 0.951 1.377
3.017 3.331 1.377
1.645 0.947 1.377
4.661 4.279 4.063
6.040 1.898 4.063
7.413 4.282 4.063
3.019 1.743 0.254
6.038 3.486 1.487
3.019 1.743 3.954
9.057 5.229 2.720
```

## Properties
M_tot in μB per formula unit: 1.1
Total DFT energy (no corrections) in eV per atom: -6.41